Computed, not measured: a relaxed structure of Sr2CaAs3Pd4 at the PBE-GGA level of DFT.

Values from the calculation:
DFT formation energy = -0.818 eV per atom
E = -48.27 eV per cell
symmetry = P-4m2

a = 4.3816 Å, b = 4.3816 Å, c = 11.2401 Å
α = 90.00°, β = 90.00°, γ = 90.00°
Element x y z (fractional)
Sr1 0.0000 0.5000 0.2257
Sr2 0.5000 0.0000 0.7743
Ca1 0.0000 0.0000 0.5000
As1 0.0000 0.5000 0.8771
As2 0.5000 0.0000 0.1229
As3 0.5000 0.5000 0.5000
Pd1 0.0000 0.0000 0.0000
Pd2 0.0000 0.5000 0.6568
Pd3 0.5000 0.0000 0.3432
Pd4 0.5000 0.5000 0.0000